A.
TlPdI3 | Alexandria | PBE | relaxed; spin magnetization = 0.00 μB per atom; ρ = 6.15 Mg/m³
1.0
7.359 -4.015 0.000
7.359 4.015 0.000
-6.815 0.000 12.643
Tl Pd I
4 4 12
Direct
0.010 0.194 0.147
0.194 0.010 0.647
0.806 0.990 0.353
0.990 0.806 0.853
0.000 0.500 0.500
0.339 0.661 0.250
0.500 0.000 0.000
0.661 0.339 0.750
0.022 0.230 0.874
0.205 0.576 0.438
0.230 0.022 0.374
0.281 0.414 0.676
0.414 0.281 0.176
0.424 0.795 0.062
0.576 0.205 0.938
0.586 0.719 0.824
0.719 0.586 0.324
0.770 0.978 0.626
0.795 0.424 0.562
0.978 0.770 0.126

---

B.
TlPdI3 | Alexandria | PBE | relaxed; spin magnetization = 0.00 μB per atom; ρ = 6.68 Mg/m³
1.0
7.779 0.000 0.000
-3.889 6.736 0.000
0.000 0.000 6.557
Tl Pd I
2 2 6
Direct
0.333 0.667 0.250
0.667 0.333 0.750
0.000 0.000 0.000
0.000 0.000 0.500
0.171 0.342 0.750
0.171 0.829 0.750
0.342 0.171 0.250
0.658 0.829 0.750
0.829 0.171 0.250
0.829 0.658 0.250

---

Which of them is most stable? Easy: A.

---

A.
Tl2PdI | Alexandria | PBE | relaxed; spin magnetization = 0.00 μB per atom; ρ = 7.77 Mg/m³
1.0
2.120 1.224 8.805
-2.120 1.224 8.805
0.000 -2.449 8.805
Tl Pd I
2 1 1
Direct
0.113 0.113 0.113
0.887 0.887 0.887
0.500 0.500 0.500
0.000 0.000 0.000

---

B.
Tl2PdI | Alexandria | PBE | relaxed; spin magnetization = 0.00 μB per atom; ρ = 8.90 Mg/m³
1.0
0.000 3.913 3.913
3.913 0.000 3.913
3.913 3.913 0.000
Tl Pd I
2 1 1
Direct
0.250 0.250 0.250
0.750 0.750 0.750
0.000 0.000 0.000
0.500 0.500 0.500

---

Which of them is most stable? Easy: A.

---

A.
TlPdI2 | Alexandria | PBE | relaxed; spin magnetization = 0.16 μB per atom; ρ = 7.33 Mg/m³
1.0
2.190 1.264 7.696
-2.190 1.264 7.696
0.000 -2.528 7.696
Tl Pd I
1 1 2
Direct
0.000 0.000 0.000
0.500 0.500 0.500
0.231 0.231 0.231
0.769 0.769 0.769

---

B.
TlPdI2 | Alexandria | PBE | relaxed; spin magnetization = 0.00 μB per atom; ρ = 5.51 Mg/m³
1.0
-3.569 3.569 6.683
3.569 -3.569 6.683
3.569 3.569 -6.683
Tl Pd I
2 2 4
Direct
0.000 0.000 0.000
0.750 0.250 0.500
0.250 0.750 0.500
0.500 0.500 0.000
0.210 0.625 0.085
0.375 0.460 0.585
0.540 0.125 0.915
0.875 0.790 0.415

---

Which of them is most stable? Easy: B.